(P)
This record from Alexandria via LeMat-Bulk describes crystalline KTaRh at its relaxed geometry. The functional is PBE.

CIF file:
```
data_KTaRh
_chemical_formula_sum 'K2 Ta2 Rh2'
_cell_length_a 3.247
_cell_length_b 3.247
_cell_length_c 14.366
_cell_angle_alpha 90.00
_cell_angle_beta 90.00
_cell_angle_gamma 90.00
_symmetry_space_group_name_H-M 'I 4 m m'
_symmetry_Int_Tables_number 107
_symmetry_space_group_name_Hall 'I 4 -2'
loop_
_atom_site_label
_atom_site_type_symbol
_atom_site_fract_x
_atom_site_fract_y
_atom_site_fract_z
K1 K 0.000 0.000 0.000
Ta1 Ta 0.000 0.000 0.268
Rh1 Rh 0.000 0.000 0.688
```

***

(Q)
This record from Alexandria via LeMat-Bulk describes crystalline KTaRh at its relaxed geometry. The functional is PBE.

CIF file:
```
data_KTaRh
_chemical_formula_sum 'K4 Ta4 Rh4'
_cell_length_a 6.520
_cell_length_b 6.520
_cell_length_c 6.520
_cell_angle_alpha 90.00
_cell_angle_beta 90.00
_cell_angle_gamma 90.00
_symmetry_space_group_name_H-M 'F -4 3 m'
_symmetry_Int_Tables_number 216
_symmetry_space_group_name_Hall 'F -4 2 3'
loop_
_atom_site_label
_atom_site_type_symbol
_atom_site_fract_x
_atom_site_fract_y
_atom_site_fract_z
K1 K 0.000 0.000 0.000
Ta1 Ta 0.000 0.000 0.500
Rh1 Rh 0.250 0.250 0.250
```

***

Computed relative energies in units of meV/atom: (P) 0; (Q) 857

***

(P)
This record from Alexandria via LeMat-Bulk describes crystalline KTa3Rh at its relaxed geometry. The functional is PBE.

CIF file:
```
data_KTa3Rh
_chemical_formula_sum 'K1 Ta3 Rh1'
_cell_length_a 4.962
_cell_length_b 4.962
_cell_length_c 4.962
_cell_angle_alpha 90.00
_cell_angle_beta 90.00
_cell_angle_gamma 90.00
_symmetry_space_group_name_H-M 'P m -3 m'
_symmetry_Int_Tables_number 221
_symmetry_space_group_name_Hall '-P 4 2 3'
loop_
_atom_site_label
_atom_site_type_symbol
_atom_site_fract_x
_atom_site_fract_y
_atom_site_fract_z
K1 K 0.000 0.000 0.000
Ta1 Ta 0.000 0.500 0.500
Rh1 Rh 0.500 0.500 0.500
```

***

(Q)
This record from Alexandria via LeMat-Bulk describes crystalline KTa3Rh at its relaxed geometry. The functional is PBE.

CIF file:
```
data_KTa3Rh
_chemical_formula_sum 'K1 Ta3 Rh1'
_cell_length_a 4.540
_cell_length_b 4.540
_cell_length_c 4.540
_cell_angle_alpha 90.00
_cell_angle_beta 90.00
_cell_angle_gamma 90.00
_symmetry_space_group_name_H-M 'P m -3 m'
_symmetry_Int_Tables_number 221
_symmetry_space_group_name_Hall '-P 4 2 3'
loop_
_atom_site_label
_atom_site_type_symbol
_atom_site_fract_x
_atom_site_fract_y
_atom_site_fract_z
K1 K 0.000 0.000 0.000
Ta1 Ta 0.000 0.000 0.500
Rh1 Rh 0.500 0.500 0.500
```

***

Computed relative energies in units of meV/atom: (P) 0; (Q) 1555

***

(P)
This record from Alexandria via LeMat-Bulk describes crystalline K2TcRh at its relaxed geometry. The functional is PBE.

CIF file:
```
data_K2TcRh
_chemical_formula_sum 'K4 Tc2 Rh2'
_cell_length_a 8.323
_cell_length_b 2.876
_cell_length_c 9.929
_cell_angle_alpha 90.00
_cell_angle_beta 91.98
_cell_angle_gamma 90.00
_symmetry_space_group_name_H-M 'C 1 m 1'
_symmetry_Int_Tables_number 8
loop_
_symmetry_equiv_pos_as_xyz
'x,y,z'
'x,-y,z'
'x+1/2,y+1/2,z'
'x+1/2,-y+1/2,z'
loop_
_atom_site_label
_atom_site_type_symbol
_atom_site_fract_x
_atom_site_fract_y
_atom_site_fract_z
K1 K 0.000 0.000 0.000
K2 K 0.237 0.000 0.568
Tc1 Tc 0.252 0.500 0.245
Rh1 Rh 0.489 0.000 0.329
```

***

(Q)
This record from Alexandria via LeMat-Bulk describes crystalline K2TcRh at its relaxed geometry. The functional is PBE.

CIF file:
```
data_K2TcRh
_chemical_formula_sum 'K2 Tc1 Rh1'
_cell_length_a 2.864
_cell_length_b 3.926
_cell_length_c 10.173
_cell_angle_alpha 90.00
_cell_angle_beta 90.80
_cell_angle_gamma 90.00
_symmetry_space_group_name_H-M 'P 1 m 1'
_symmetry_Int_Tables_number 6
loop_
_symmetry_equiv_pos_as_xyz
'x,y,z'
'x,-y,z'
loop_
_atom_site_label
_atom_site_type_symbol
_atom_site_fract_x
_atom_site_fract_y
_atom_site_fract_z
K1 K 0.000 0.000 0.000
K2 K 0.463 0.500 0.424
Tc1 Tc 0.979 0.000 0.674
Rh1 Rh 0.484 0.500 0.759
```

***

(R)
This record from Alexandria via LeMat-Bulk describes crystalline K2TcRh at its relaxed geometry. The functional is PBE.

CIF file:
```
data_K2TcRh
_chemical_formula_sum 'K8 Tc4 Rh4'
_cell_length_a 7.268
_cell_length_b 7.268
_cell_length_c 7.268
_cell_angle_alpha 90.00
_cell_angle_beta 90.00
_cell_angle_gamma 90.00
_symmetry_space_group_name_H-M 'F -4 3 m'
_symmetry_Int_Tables_number 216
_symmetry_space_group_name_Hall 'F -4 2 3'
loop_
_atom_site_label
_atom_site_type_symbol
_atom_site_fract_x
_atom_site_fract_y
_atom_site_fract_z
K1 K 0.000 0.000 0.000
K2 K 0.250 0.250 0.250
Tc1 Tc 0.250 0.250 0.750
Rh1 Rh 0.000 0.000 0.500
```

***

Computed relative energies in units of meV/atom: (P) 56; (Q) 0; (R) 706

***

(P)
This record from Alexandria via LeMat-Bulk describes crystalline K2TcRh at its relaxed geometry. The functional is PBE.

CIF file:
```
data_K2TcRh
_chemical_formula_sum 'K4 Tc2 Rh2'
_cell_length_a 3.928
_cell_length_b 5.853
_cell_length_c 10.615
_cell_angle_alpha 90.00
_cell_angle_beta 90.00
_cell_angle_gamma 90.00
_symmetry_space_group_name_H-M 'I m m 2'
_symmetry_Int_Tables_number 44
loop_
_symmetry_equiv_pos_as_xyz
'x,y,z'
'-x,-y,z'
'-x,y,z'
'x,-y,z'
'x+1/2,y+1/2,z+1/2'
'-x+1/2,-y+1/2,z+1/2'
'-x+1/2,y+1/2,z+1/2'
'x+1/2,-y+1/2,z+1/2'
loop_
_atom_site_label
_atom_site_type_symbol
_atom_site_fract_x
_atom_site_fract_y
_atom_site_fract_z
K1 K 0.000 0.000 0.000
K2 K 0.000 0.500 0.204
Tc1 Tc 0.000 0.000 0.400
Rh1 Rh 0.000 0.500 0.785
```

***

(Q)
This record from Alexandria via LeMat-Bulk describes crystalline K2TcRh at its relaxed geometry. The functional is PBE.

CIF file:
```
data_K2TcRh
_chemical_formula_sum 'K4 Tc2 Rh2'
_cell_length_a 3.891
_cell_length_b 3.891
_cell_length_c 11.291
_cell_angle_alpha 90.00
_cell_angle_beta 90.00
_cell_angle_gamma 90.00
_symmetry_space_group_name_H-M 'I 4/m m m'
_symmetry_Int_Tables_number 139
_symmetry_space_group_name_Hall '-I 4 2'
loop_
_atom_site_label
_atom_site_type_symbol
_atom_site_fract_x
_atom_site_fract_y
_atom_site_fract_z
K1 K 0.000 0.500 0.250
Tc1 Tc 0.000 0.000 0.000
Rh1 Rh 0.000 0.000 0.500
```

***

(R)
This record from Alexandria via LeMat-Bulk describes crystalline K2TcRh at its relaxed geometry. The functional is PBE.

CIF file:
```
data_K2TcRh
_chemical_formula_sum 'K4 Tc2 Rh2'
_cell_length_a 5.328
_cell_length_b 11.248
_cell_length_c 2.804
_cell_angle_alpha 90.00
_cell_angle_beta 91.62
_cell_angle_gamma 90.00
_symmetry_space_group_name_H-M 'C 1 2/m 1'
_symmetry_Int_Tables_number 12
loop_
_symmetry_equiv_pos_as_xyz
'x,y,z'
'-x,-y,-z'
'-x,y,-z'
'x,-y,z'
'x+1/2,y+1/2,z'
'-x+1/2,-y+1/2,-z'
'-x+1/2,y+1/2,-z'
'x+1/2,-y+1/2,z'
loop_
_atom_site_label
_atom_site_type_symbol
_atom_site_fract_x
_atom_site_fract_y
_atom_site_fract_z
K1 K 0.250 0.250 0.000
Tc1 Tc 0.000 0.000 0.500
Rh1 Rh 0.000 0.500 0.500
```

***

(S)
This record from Alexandria via LeMat-Bulk describes crystalline K2TcRh at its relaxed geometry. The functional is PBE.

CIF file:
```
data_K2TcRh
_chemical_formula_sum 'K4 Tc2 Rh2'
_cell_length_a 20.539
_cell_length_b 3.253
_cell_length_c 3.836
_cell_angle_alpha 90.00
_cell_angle_beta 100.58
_cell_angle_gamma 90.00
_symmetry_space_group_name_H-M 'C 1 2/m 1'
_symmetry_Int_Tables_number 12
loop_
_symmetry_equiv_pos_as_xyz
'x,y,z'
'-x,-y,-z'
'-x,y,-z'
'x,-y,z'
'x+1/2,y+1/2,z'
'-x+1/2,-y+1/2,-z'
'-x+1/2,y+1/2,-z'
'x+1/2,-y+1/2,z'
loop_
_atom_site_label
_atom_site_type_symbol
_atom_site_fract_x
_atom_site_fract_y
_atom_site_fract_z
K1 K 0.144 0.000 0.141
Tc1 Tc 0.000 0.000 0.500
Rh1 Rh 0.000 0.500 0.000
```

***

Computed relative energies in units of meV/atom: (P) 202; (Q) 469; (R) 430; (S) 0

***

(P)
This record from Alexandria via LeMat-Bulk describes crystalline K2TcRh at its relaxed geometry. The functional is PBE.

CIF file:
```
data_K2TcRh
_chemical_formula_sum 'K2 Tc1 Rh1'
_cell_length_a 3.886
_cell_length_b 3.886
_cell_length_c 5.645
_cell_angle_alpha 90.00
_cell_angle_beta 90.00
_cell_angle_gamma 90.00
_symmetry_space_group_name_H-M 'P 4/m m m'
_symmetry_Int_Tables_number 123
_symmetry_space_group_name_Hall '-P 4 2'
loop_
_atom_site_label
_atom_site_type_symbol
_atom_site_fract_x
_atom_site_fract_y
_atom_site_fract_z
K1 K 0.000 0.500 0.000
Tc1 Tc 0.000 0.000 0.500
Rh1 Rh 0.500 0.500 0.500
```

***

(Q)
This record from Alexandria via LeMat-Bulk describes crystalline K2TcRh at its relaxed geometry. The functional is PBE.

CIF file:
```
data_K2TcRh
_chemical_formula_sum 'K2 Tc1 Rh1'
_cell_length_a 2.830
_cell_length_b 5.647
_cell_length_c 5.276
_cell_angle_alpha 90.00
_cell_angle_beta 96.32
_cell_angle_gamma 90.00
_symmetry_space_group_name_H-M 'P 1 2/m 1'
_symmetry_Int_Tables_number 10
loop_
_symmetry_equiv_pos_as_xyz
'x,y,z'
'-x,-y,-z'
'-x,y,-z'
'x,-y,z'
loop_
_atom_site_label
_atom_site_type_symbol
_atom_site_fract_x
_atom_site_fract_y
_atom_site_fract_z
K1 K 0.109 0.000 0.256
Tc1 Tc 0.500 0.500 0.000
Rh1 Rh 0.500 0.500 0.500
```

***

(R)
This record from Alexandria via LeMat-Bulk describes crystalline K2TcRh at its relaxed geometry. The functional is PBE.

CIF file:
```
data_K2TcRh
_chemical_formula_sum 'K4 Tc2 Rh2'
_cell_length_a 3.059
_cell_length_b 4.691
_cell_length_c 11.443
_cell_angle_alpha 90.00
_cell_angle_beta 90.00
_cell_angle_gamma 90.00
_symmetry_space_group_name_H-M 'C m m m'
_symmetry_Int_Tables_number 65
_symmetry_space_group_name_Hall '-C 2 2'
loop_
_atom_site_label
_atom_site_type_symbol
_atom_site_fract_x
_atom_site_fract_y
_atom_site_fract_z
K1 K 0.000 0.000 0.240
Tc1 Tc 0.000 0.500 0.500
Rh1 Rh 0.000 0.500 0.000
```

***

(S)
This record from Alexandria via LeMat-Bulk describes crystalline K2TcRh at its relaxed geometry. The functional is PBE.

CIF file:
```
data_K2TcRh
_chemical_formula_sum 'K8 Tc4 Rh4'
_cell_length_a 12.324
_cell_length_b 12.324
_cell_length_c 4.707
_cell_angle_alpha 90.00
_cell_angle_beta 90.00
_cell_angle_gamma 90.00
_symmetry_space_group_name_H-M 'I -4 2 d'
_symmetry_Int_Tables_number 122
_symmetry_space_group_name_Hall 'I -4 2bw'
loop_
_atom_site_label
_atom_site_type_symbol
_atom_site_fract_x
_atom_site_fract_y
_atom_site_fract_z
K1 K 0.073 0.750 0.125
Tc1 Tc 0.000 0.000 0.500
Rh1 Rh 0.000 0.000 0.000
```

***

Computed relative energies in units of meV/atom: (P) 90; (Q) 56; (R) 23; (S) 0

***

(P)
This record from Alexandria via LeMat-Bulk describes crystalline K2TcRh at its relaxed geometry. The functional is PBE.

CIF file:
```
data_K2TcRh
_chemical_formula_sum 'K8 Tc4 Rh4'
_cell_length_a 7.530
_cell_length_b 7.530
_cell_length_c 7.530
_cell_angle_alpha 90.00
_cell_angle_beta 90.00
_cell_angle_gamma 90.00
_symmetry_space_group_name_H-M 'F m -3 m'
_symmetry_Int_Tables_number 225
_symmetry_space_group_name_Hall '-F 4 2 3'
loop_
_atom_site_label
_atom_site_type_symbol
_atom_site_fract_x
_atom_site_fract_y
_atom_site_fract_z
K1 K 0.250 0.250 0.250
Tc1 Tc 0.000 0.000 0.000
Rh1 Rh 0.000 0.000 0.500
```

***

(Q)
This record from Alexandria via LeMat-Bulk describes crystalline K2TcRh at its relaxed geometry. The functional is PBE.

CIF file:
```
data_K2TcRh
_chemical_formula_sum 'K2 Tc1 Rh1'
_cell_length_a 2.805
_cell_length_b 5.324
_cell_length_c 5.626
_cell_angle_alpha 90.00
_cell_angle_beta 90.00
_cell_angle_gamma 90.00
_symmetry_space_group_name_H-M 'P m m m'
_symmetry_Int_Tables_number 47
loop_
_symmetry_equiv_pos_as_xyz
'x,y,z'
'-x,-y,-z'
'-x,-y,z'
'x,y,-z'
'x,-y,-z'
'-x,y,z'
'-x,y,-z'
'x,-y,z'
loop_
_atom_site_label
_atom_site_type_symbol
_atom_site_fract_x
_atom_site_fract_y
_atom_site_fract_z
K1 K 0.000 0.249 0.000
Tc1 Tc 0.500 0.500 0.500
Rh1 Rh 0.500 0.000 0.500
```

***

Computed relative energies in units of meV/atom: (P) 512; (Q) 0